Below is CoCu2Pt at its PBEsol-relaxed geometry, with properties calculated at the meta-GGA SCAN level.

Calculated values
DFT total energy: -29.460 eV per atom

Lattice parameters (Å, degrees): 4.439 4.439 2.641 90.00 90.00 109.38
Positions (direct):
Co 0.000 0.000 0.000
Cu 0.000 0.500 0.500
Cu 0.500 0.000 0.500
Pt 0.500 0.500 0.000